[1]
{
  "formula": "MgAlGaAg",
  "functional": "PBE",
  "state": "relaxed",
  "lattice_angstrom": [[2.9605, 0.0000, 0.0000], [0.0000, 2.9754, 0.0000], [-1.4803, 0.0000, 8.8646]],
  "species": ["Ag", "Mg", "Ga", "Al"],
  "frac_coords": [[0.2196, 0.0000, 0.4392], [0.8342, 0.5000, 0.6683], [0.4491, 0.0000, 0.8981], [0.5925, 0.0000, 0.1851]],
  "sg": "Amm2, No. 38",
  "e_tot_ry_per_atom": -0.204,
  "formation_enthalpy_0k_ev_per_atom": 0.027
}


[2]
{
  "formula": "CaRe2Tc",
  "functional": "PBE",
  "state": "relaxed",
  "lattice_angstrom": [[-3.7025, -2.2029, -1.0813], [-0.2923, -0.7928, 2.6159], [-3.1031, 4.3200, 1.8247]],
  "species": ["Re", "Ca", "Tc", "Re"],
  "frac_coords": [[0.0000, 0.0125, 0.0357], [0.5000, 0.7454, 0.7443], [0.0000, 0.4889, 0.4764], [0.5000, 0.2531, 0.2437]],
  "sg": "Pm, No. 6",
  "e_tot_ry_per_atom": -0.643,
  "formation_enthalpy_0k_ev_per_atom": 0.570,
  "de_polymorph_mev_per_atom": 107
}


[3]
{
  "formula": "RbCoGe2Ir",
  "functional": "PBE",
  "state": "relaxed",
  "lattice_angstrom": [[-2.1226, 4.1330, -1.2167], [-3.7854, -0.9711, 3.3054], [2.4382, 2.2706, 3.4593]],
  "species": ["Rb", "Ir", "Ge", "Ge", "Co"],
  "frac_coords": [[0.5000, 0.5000, 0.5000], [0.0000, 0.0000, 0.0000], [0.0000, 0.0000, 0.5000], [0.5000, 0.0000, 0.0000], [0.0000, 0.5000, 0.0000]],
  "sg": "P4/mmm, No. 123",
  "e_tot_ry_per_atom": -0.356,
  "formation_enthalpy_0k_ev_per_atom": 0.394
}


[4]
{
  "formula": "Nb2TlC",
  "functional": "PBE",
  "state": "relaxed",
  "lattice_angstrom": [[6.6687, 0.0000, 0.0000], [0.0000, 6.6687, 0.0000], [3.3343, 3.3343, 3.1303]],
  "species": ["Nb", "Nb", "Nb", "Tl", "C", "C", "Nb", "Tl"],
  "frac_coords": [[0.8750, 0.7825, 0.7500], [0.3750, 0.4675, 0.7500], [0.2175, 0.6250, 0.2500], [0.0000, 0.0000, 0.0000], [0.2500, 0.7500, 0.5000], [0.5000, 0.5000, 0.0000], [0.5325, 0.1250, 0.2500], [0.7500, 0.2500, 0.5000]],
  "sg": "I-42d, No. 122",
  "e_tot_ry_per_atom": -0.555,
  "formation_enthalpy_0k_ev_per_atom": 0.381
}


[5]
{
  "formula": "AlW2Cl",
  "functional": "PBE",
  "state": "relaxed",
  "lattice_angstrom": [[-0.9810, 2.1920, -1.6246], [-2.0203, -1.2193, 1.6847], [2.1768, 6.2742, 7.1514]],
  "species": ["W", "W", "Al", "Cl"],
  "frac_coords": [[0.0000, 0.0000, 0.0610], [0.5000, 0.5000, 0.2716], [0.0000, 0.0000, 0.4917], [0.5000, 0.5000, 0.6757]],
  "sg": "Cmm2, No. 35",
  "e_tot_ry_per_atom": -0.559,
  "de_polymorph_mev_per_atom": 30
}


[6]
{
  "formula": "Li3ZrMn2S6",
  "functional": "PBE",
  "state": "relaxed",
  "lattice_angstrom": [[6.2874, -0.0182, 0.0066], [-3.1580, 5.4369, 0.0066], [-1.0374, -1.7962, 6.0776]],
  "species": ["S", "Li", "S", "Li", "S", "Mn", "S", "S", "Mn", "Zr", "Li", "S"],
  "frac_coords": [[0.0815, 0.4198, 0.2367], [0.5000, 0.5000, 0.5000], [0.2580, 0.2580, 0.7600], [0.1679, 0.8321, 0.5000], [0.4198, 0.0815, 0.2367], [0.3341, 0.6659, 0.0000], [0.5802, 0.9185, 0.7633], [0.9185, 0.5802, 0.7633], [0.6659, 0.3341, 0.0000], [0.0000, 0.0000, 0.0000], [0.8321, 0.1679, 0.5000], [0.7420, 0.7420, 0.2400]],
  "sg": "C2/m, No. 12",
  "e_tot_ry_per_atom": -0.433
}